# 1
# InRhBr2

An optimized crystal structure of InRhBr2 (PBE-GGA, Alexandria).

## Properties
**Energy above the most stable polymorph in this dataset**: 298 meV per atom
**Fermi-level density of states**: 5.36 states/eV/cell
**Space group**: Cmmm, No. 65
**Raw total energy**: -3.337 eV per atom
**Raw formation energy**: 0.02 eV/atom

Structure (POSCAR):
```
InRhBr2
1.0
3.611 0.000 0.000
0.000 6.507 0.000
0.000 0.000 9.032
In Rh Br
2 2 4
Cartesian
0.000 0.000 0.000
1.806 3.254 0.000
0.000 0.000 4.516
1.806 3.254 4.516
0.000 3.254 2.792
0.000 3.254 6.240
1.806 0.000 2.792
1.806 0.000 6.240
```

=====

# 2
# RbInN

An optimized crystal structure of RbInN (PBE-GGA, Alexandria).

## Properties
**Fermi-level density of states**: 3.53 states/eV/cell
**Space group**: P-1, No. 2
**Raw total energy**: -4.071 eV per atom
**Raw formation energy**: -0.06 eV/atom

Structure (POSCAR):
```
RbInN
1.0
3.759 0.000 0.000
0.001 4.285 0.000
1.873 1.613 10.666
Rb In N
2 2 2
Cartesian
0.940 1.093 3.360
4.693 4.805 7.306
2.814 2.683 10.006
2.819 3.215 0.660
2.817 2.496 5.711
2.816 3.401 4.955
```